Record 1
## K2Mg3TlSn4 (GGA-PBE)

Data for crystalline K2Mg3TlSn4 at its relaxed geometry.

Formation enthalpy at 0 K ... -0.168 eV/atom
Space group ... No. 115
Energy ... -2.70 eV/atom

abc: 4.8533 4.8533 12.8692
angles: 90.00 90.00 90.00
With the nearest neighbours (Å) after each atom.
Sites, in units of the cell vectors:
1 Tl 0.5000 0.5000 0.5000  4 Sn 3.02
2 Sn 0.5000 0.0000 0.6401  3 Mg 2.88-3.02, 2 Tl 3.02
3 Sn 0.0000 0.5000 0.3599  3 Mg 2.88-3.02, 2 Tl 3.02
4 Sn 0.0000 0.0000 0.0000  4 Mg 2.99
5 Mg 0.0000 0.5000 0.1359  5 Sn 2.88-2.99
6 Sn 0.5000 0.5000 0.0000  4 Mg 2.99
7 Mg 0.5000 0.0000 0.8641  5 Sn 2.88-2.99
8 Mg 0.0000 0.0000 0.5000  4 Sn 3.02
9 K 0.5000 0.0000 0.2493  8 Sn 3.72-4.02, 6 Mg 3.73-4.04, 2 Tl 4.04
10 K 0.0000 0.5000 0.7507  8 Sn 3.72-4.02, 6 Mg 3.73-4.04, 2 Tl 4.04



Record 2
## KMgV2Sn (GGA-PBE)

Data for crystalline KMgV2Sn at its relaxed geometry.

Formation enthalpy at 0 K ... 1.413 eV/atom
Space group ... No. 123
Energy ... -3.57 eV/atom

abc: 5.1703 5.4195 5.1703
angles: 90.00 90.00 90.00
With the nearest neighbours (Å) after each atom.
Sites, in units of the cell vectors:
1 Sn 0.5000 0.5000 0.5000  4 K 3.66, 8 V 3.75
2 V 0.0000 0.0000 0.5000  2 Mg 2.59
3 K 0.0000 0.5000 0.0000  2 Mg 2.71
4 Mg 0.0000 0.0000 0.0000  4 V 2.59, 2 K 2.71
5 V 0.5000 0.0000 0.0000  2 Mg 2.59